The following is a PBE calculation of a relaxed structure of Nd4RuCl5, from Alexandria.

Summary:
Crystal system: monoclinic
Size of the total moment in μB/cell: 0.1
ΔE_f (raw) in eV/atom: -1.60
N(E_F) in states/eV per atom: 0.549
Calculated volume in Å³/f.u.: 313.55

Unit cell a=18.199 b=4.081 c=8.801 alpha=90.00 beta=106.37 gamma=90.00
Space group C2/m (No. 12)
One atom of each set of equivalent atoms:
Nd  0.001  0.000  0.233 x4
Nd  0.151  0.500  0.092 x4
Ru  0.000  0.500  0.000 x2
Cl  0.000  0.500  0.500 x2
Cl  0.168  0.000  0.329 x4
Cl  0.170  0.000  0.866 x4